Entry 1:
A plane-wave DFT calculation with PBEsol was carried out for WAu2Cl after structural relaxation.

The total energy is -5.436 eV per atom. The calculation puts the formation energy (no corrections) at 480 meV/atom.

Structure (POSCAR):
```
WAu2Cl
1.0
-0.129 -2.791 -0.525
1.715 2.025 -3.485
4.885 -0.797 3.032
Cl Au W
1 2 1
Direct
0.485 0.970 0.451
0.009 0.019 0.010
0.257 0.514 0.744
0.748 0.496 0.295
```



Entry 2:
A plane-wave DFT calculation with PBEsol was carried out for ZnAu2Cl after structural relaxation.

The total energy is -2.683 eV per atom. The calculation puts the formation energy (no corrections) at 177 meV/atom.

Structure (POSCAR):
```
ZnAu2Cl
1.0
3.645 0.000 0.000
0.000 3.645 0.000
-1.823 -1.823 5.518
Au Cl Zn
2 1 1
Direct
0.750 0.250 0.500
0.000 0.000 0.000
0.500 0.500 0.000
0.250 0.750 0.500
```



Entry 3:
A plane-wave DFT calculation with PBEsol was carried out for ZnAu2Cl after structural relaxation.

The total energy is -2.752 eV per atom. The calculation puts the formation energy (no corrections) at 107 meV/atom.

Structure (POSCAR):
```
ZnAu2Cl
1.0
-2.888 0.745 -2.264
-1.506 -3.327 0.827
-2.599 2.179 4.033
Cl Au Zn
1 2 1
Direct
0.500 0.500 0.500
0.000 0.500 0.000
0.500 0.000 0.000
0.000 0.000 0.500
```



Entry 4:
A plane-wave DFT calculation with PBEsol was carried out for ZnAu2Cl after structural relaxation.

The total energy is -2.925 eV per atom. The calculation puts the formation energy (no corrections) at -65 meV/atom.

Structure (POSCAR):
```
ZnAu2Cl
1.0
-2.161 -2.005 -0.422
2.388 -0.505 -1.704
3.435 -5.028 6.304
Au Zn Cl
2 1 1
Direct
0.500 0.500 0.774
0.000 0.000 0.031
0.500 0.500 0.254
0.000 0.000 0.442
```



Entry 5:
A plane-wave DFT calculation with PBEsol was carried out for ZrAuCl2 after structural relaxation.

The total energy is -4.624 eV per atom. The calculation puts the formation energy (no corrections) at -367 meV/atom.

Structure (POSCAR):
```
ZrAuCl2
1.0
3.214 0.000 0.000
0.000 4.351 0.000
0.000 0.000 5.287
Au Zr Cl
1 1 2
Direct
0.000 0.500 0.500
0.500 0.500 0.000
0.000 0.000 0.000
0.500 0.000 0.500
```



Entry 6:
A plane-wave DFT calculation with PBEsol was carried out for ZrAuCl2 after structural relaxation.

The total energy is -4.740 eV per atom. The calculation puts the formation energy (no corrections) at -482 meV/atom.

Structure (POSCAR):
```
ZrAuCl2
1.0
3.197 0.000 0.000
0.000 5.122 0.094
0.000 -2.454 4.505
Au Cl Zr
1 2 1
Direct
0.000 0.500 0.000
0.000 0.000 0.000
0.500 0.500 0.500
0.500 0.000 0.500
```



Entry 7:
A plane-wave DFT calculation with PBEsol was carried out for ZrAuCl after structural relaxation.

The total energy is -5.793 eV per atom. The calculation puts the formation energy (no corrections) at -785 meV/atom.

Structure (POSCAR):
```
ZrAuCl
1.0
-3.009 0.776 -0.802
2.175 -0.568 -2.290
-1.721 -6.653 0.017
Cl Au Zr
1 1 1
Direct
0.667 0.333 0.613
0.000 0.000 0.038
0.333 0.667 0.349
```



Entry 8:
A plane-wave DFT calculation with PBEsol was carried out for ZrAuCl after structural relaxation.

The total energy is -5.402 eV per atom. The calculation puts the formation energy (no corrections) at -394 meV/atom.

Structure (POSCAR):
```
ZrAuCl
1.0
-4.335 -0.916 0.677
-2.225 -2.586 -2.908
-1.259 -4.135 1.186
Cl Au Zr
1 1 1
Direct
0.500 0.500 0.500
0.000 0.000 0.000
0.250 0.250 0.250
```



Entry 9:
A plane-wave DFT calculation with PBEsol was carried out for ZrAu3Cl after structural relaxation.

The total energy is -3.627 eV per atom. The calculation puts the formation energy (no corrections) at 947 meV/atom.

Structure (POSCAR):
```
ZrAu3Cl
1.0
-2.997 -3.661 0.219
2.233 -2.046 -3.641
2.909 -2.201 3.020
Zr Cl Au
1 1 3
Direct
0.500 0.500 0.500
0.000 0.000 0.000
0.500 0.000 0.000
0.000 0.500 0.000
0.000 0.000 0.500
```



Entry 10:
A plane-wave DFT calculation with PBEsol was carried out for Co4Au3 after structural relaxation.

The total energy is -5.955 eV per atom.

Structure (POSCAR):
```
Co4Au3
1.0
2.725 0.000 0.000
0.000 2.725 0.000
-1.362 -1.362 12.557
Au Co
3 4
Direct
0.705 0.705 0.411
0.000 0.000 0.000
0.295 0.295 0.589
0.424 0.424 0.848
0.576 0.576 0.152
0.870 0.870 0.741
0.130 0.130 0.259
```



Entry 11:
A plane-wave DFT calculation with PBEsol was carried out for CoAu after structural relaxation.

The total energy is -5.502 eV per atom.

Structure (POSCAR):
```
CoAu
1.0
2.734 0.000 0.000
1.367 2.368 0.000
1.367 0.789 4.314
Au Co
1 1
Direct
0.000 0.000 0.000
0.500 0.500 0.500
```



Entry 12:
A plane-wave DFT calculation with PBEsol was carried out for Co2Au after structural relaxation.

The total energy is -6.305 eV per atom.

Structure (POSCAR):
```
Co2Au
1.0
2.690 0.000 0.000
0.000 2.690 0.000
-1.345 -1.345 5.269
Co Au
2 1
Direct
0.684 0.684 0.368
0.316 0.316 0.632
0.000 0.000 0.000
```